PBE AgP2PtO8, relaxed; space group = R-3, No. 148; energy relative to the elements, uncorrected = -1.29 eV/atom; spin magnetization = 0.03 μB per atom; VASP energy = -6.236 eV/atom
1.0
2.3779 1.3729 7.7172
-2.3779 1.3729 7.7172
0.0000 -2.7458 7.7172
Ag P Pt O
1 2 1 8
direct
0.0000 0.0000 0.0000
0.2411 0.2411 0.2411
0.7589 0.7589 0.7589
0.5000 0.5000 0.5000
0.0986 0.4771 0.7687
0.2313 0.9014 0.5229
0.3067 0.3067 0.3067
0.4771 0.7687 0.0986
0.5229 0.2313 0.9014
0.6933 0.6933 0.6933
0.7687 0.0986 0.4771
0.9014 0.5229 0.2313



PBE AgP2PtO, relaxed; space group = P4/mmm, No. 123; energy above the lowest structure with this stoichiometry = 0.553 eV per atom; energy relative to the elements, uncorrected = 1.07 eV/atom; spin magnetization = 0.01 μB per atom; VASP energy = -3.859 eV/atom
1.0
4.7900 0.0000 0.0000
0.0000 4.7900 0.0000
0.0000 0.0000 3.8112
Ag P Pt O
1 2 1 1
direct
0.0000 0.0000 0.0000
0.0000 0.5000 0.0000
0.5000 0.0000 0.0000
0.5000 0.5000 0.5000
0.0000 0.0000 0.5000



PBE AgPPtO5, relaxed; space group = C2/c, No. 15; energy relative to the elements, uncorrected = -1.04 eV/atom; spin magnetization = 0.00 μB per atom; VASP energy = -5.931 eV/atom
1.0
3.4704 -4.3999 0.0000
3.4704 4.3999 0.0000
-3.3516 0.0000 6.4857
Ag P Pt O
2 2 2 10
direct
0.1610 0.8390 0.7500
0.8390 0.1610 0.2500
0.1875 0.8125 0.2500
0.8125 0.1875 0.7500
0.5000 0.5000 0.0000
0.5000 0.5000 0.5000
0.1020 0.2589 0.9052
0.1903 0.6174 0.3665
0.2589 0.1020 0.4052
0.3826 0.8097 0.1335
0.4082 0.5918 0.7500
0.5918 0.4082 0.2500
0.6174 0.1903 0.8665
0.7411 0.8980 0.5948
0.8097 0.3826 0.6335
0.8980 0.7411 0.0948



PBE PuAgP2O6, relaxed; space group = C2/c, No. 15; energy relative to the elements, uncorrected = -1.97 eV/atom; spin magnetization = 0.50 μB per atom; VASP energy = -7.746 eV/atom
1.0
5.2887 -4.5413 0.0000
5.2887 4.5413 0.0000
-3.2056 0.0000 5.8659
Pu Ag P O
2 2 4 12
direct
0.0934 0.9066 0.7500
0.9066 0.0934 0.2500
0.4903 0.5097 0.7500
0.5097 0.4903 0.2500
0.0779 0.4160 0.8668
0.4160 0.0779 0.3668
0.5840 0.9221 0.6332
0.9221 0.5840 0.1332
0.0490 0.7612 0.3452
0.1229 0.5860 0.7967
0.2388 0.9510 0.1548
0.2621 0.2963 0.9848
0.2963 0.2621 0.4848
0.4140 0.8771 0.7033
0.5860 0.1229 0.2967
0.7037 0.7379 0.5152
0.7379 0.7037 0.0152
0.7612 0.0490 0.8452
0.8771 0.4140 0.2033
0.9510 0.2388 0.6548



PBE PuAgP2O8, relaxed; space group = C2/m, No. 12; energy relative to the elements, uncorrected = -2.10 eV/atom; spin magnetization = 0.24 μB per atom; VASP energy = -7.735 eV/atom
1.0
4.4888 -2.8156 0.0000
4.4888 2.8156 0.0000
-1.4037 0.0000 8.0387
Pu Ag P O
1 1 2 8
direct
0.0000 0.0000 0.0000
0.0000 0.0000 0.5000
0.3180 0.3180 0.7842
0.6820 0.6820 0.2158
0.1982 0.6460 0.8181
0.2134 0.2134 0.9205
0.2317 0.2317 0.6089
0.3540 0.8018 0.1819
0.6460 0.1982 0.8181
0.7683 0.7683 0.3911
0.7866 0.7866 0.0795
0.8018 0.3540 0.1819



PBE PuAgPO5, relaxed; space group = C2/c, No. 15; energy relative to the elements, uncorrected = -2.17 eV/atom; spin magnetization = 0.50 μB per atom; VASP energy = -8.090 eV/atom
1.0
3.8501 -4.4724 0.0000
3.8501 4.4724 0.0000
-3.6861 0.0000 7.1420
Pu Ag P O
2 2 2 10
direct
0.0000 0.0000 0.0000
0.0000 0.0000 0.5000
0.3238 0.6762 0.7500
0.6762 0.3238 0.2500
0.3356 0.6644 0.2500
0.6644 0.3356 0.7500
0.0777 0.9223 0.7500
0.1789 0.7057 0.3752
0.2694 0.3856 0.1270
0.2943 0.8211 0.1248
0.3856 0.2694 0.6270
0.6144 0.7306 0.3730
0.7057 0.1789 0.8752
0.7306 0.6144 0.8730
0.8211 0.2943 0.6248
0.9223 0.0777 0.2500



PBE RbAgP2O, relaxed; space group = P4/mmm, No. 123; energy above the lowest structure with this stoichiometry = 1.102 eV per atom; energy relative to the elements, uncorrected = 1.72 eV/atom; spin magnetization = 0.45 μB per atom; VASP energy = -2.200 eV/atom
1.0
5.5590 0.0000 0.0000
0.0000 5.5590 0.0000
0.0000 0.0000 4.3689
Rb Ag P O
1 1 2 1
direct
0.0000 0.0000 0.0000
0.5000 0.5000 0.5000
0.0000 0.5000 0.0000
0.5000 0.0000 0.0000
0.0000 0.0000 0.5000



PBE RbAg2P2O6, relaxed; space group = P-1, No. 2; energy relative to the elements, uncorrected = -1.46 eV/atom; spin magnetization = 0.00 μB per atom; VASP energy = -5.759 eV/atom
1.0
6.0614 0.0000 0.0000
-0.0295 6.2512 0.0000
-2.9903 -2.7613 4.9069
Rb Ag P O
1 2 2 6
direct
0.0000 0.0000 0.0000
0.3014 0.7238 0.5262
0.6986 0.2762 0.4738
0.3604 0.3290 0.7936
0.6396 0.6710 0.2064
0.1038 0.3101 0.7845
0.3520 0.3757 0.5706
0.4940 0.1265 0.8217
0.5060 0.8735 0.1783
0.6480 0.6243 0.4294
0.8962 0.6899 0.2155